The following is a PBE+U calculation of crystalline MoN2F5 at its relaxed geometry, from Alexandria via LeMat-Bulk.

Cell and atoms, written as POSCAR:
```
MoN2F5
1.0
3.636 -0.007 1.886
1.571 6.097 1.321
-0.976 0.426 6.416
Mo N F
1 2 5
Cartesian
2.534 0.420 8.237
1.846 2.869 5.117
2.135 3.647 4.376
4.215 6.145 4.813
1.468 4.215 1.204
2.509 2.302 8.288
-0.235 0.372 4.680
0.716 0.423 7.294
```

Summary:
ρ: 2380 kg/m3
Size of the total moment: 0.1250 μB per atom
Final energy: -5.880 eV per atom